Entry 1:
# SrTi2Co2

A geometry-optimized SrTi2Co2 structure (PBE, Alexandria via LeMat-Bulk).

Results
Offset from the most stable computed form in meV/atom: 0.0
Magnetization in μB/f.u.: 0.00
Volume in Å³ per atom: 18.7
ΔH_f (0 K) in eV/atom: -0.036
Energy in eV/atom: -6.37
Space group: I4/mmm (139)

Cell: 4.125 4.125 10.976 Å, 90.00 90.00 90.00°
Sites, in units of the cell vectors:
Sr: 0.000 0.000 0.000
Sr: 0.500 0.500 0.500
Ti: 0.000 0.500 0.250
Ti: 0.000 0.500 0.750
Ti: 0.500 0.000 0.250
Ti: 0.500 0.000 0.750
Co: 0.000 0.000 0.374
Co: 0.000 0.000 0.626
Co: 0.500 0.500 0.126
Co: 0.500 0.500 0.874

Entry 2:
# SrSbCl3

A geometry-optimized SrSbCl3 structure (PBE, Alexandria via LeMat-Bulk).

Results
Raw formation energy in kJ/mol of formula units: -387
Offset from the most stable computed form in meV/atom: 259.7
Magnetization in μB/f.u.: 0.00
Volume in Å³ per atom: 34.8
Energy in eV/atom: -3.07
Space group: Pm-3m (221)

Cell: 5.581 5.581 5.581 Å, 90.00 90.00 90.00°
Sites, in units of the cell vectors:
Sr: 0.000 0.000 0.000
Sb: 0.500 0.500 0.500
Cl: 0.000 0.500 0.500
Cl: 0.500 0.000 0.500
Cl: 0.500 0.500 0.000

Entry 3:
# YInHg2

A geometry-optimized YInHg2 structure (PBE, Alexandria via LeMat-Bulk).

Results
Magnetization in μB/f.u.: 0.00
Volume in Å³ per atom: 24.6
ΔH_f (0 K) in eV/atom: -0.250
Energy in eV/atom: -2.70
Space group: F-43m (216)

Cell: 7.333 7.333 7.333 Å, 90.00 90.00 90.00°
Sites, in units of the cell vectors:
Y: 0.000 0.000 0.000
Y: 0.000 0.500 0.500
Y: 0.500 0.000 0.500
Y: 0.500 0.500 0.000
In: 0.250 0.250 0.250
In: 0.250 0.750 0.750
In: 0.750 0.250 0.750
In: 0.750 0.750 0.250
Hg: 0.000 0.000 0.500
Hg: 0.000 0.500 0.000
Hg: 0.250 0.250 0.750
Hg: 0.250 0.750 0.250
Hg: 0.500 0.000 0.000
Hg: 0.500 0.500 0.500
Hg: 0.750 0.250 0.250
Hg: 0.750 0.750 0.750

Entry 4:
# ErNpHg2O6

A geometry-optimized ErNpHg2O6 structure (PBE, Alexandria via LeMat-Bulk).

Results
Raw formation energy in kJ/mol of formula units: -1928
Magnetization in μB/f.u.: 1.51
Volume in Å³ per atom: 14.7
Energy in eV/atom: -6.78
Space group: P2_1/c (14)

Cell: 5.811 5.947 10.240 Å, 90.00 123.98 90.00°
Sites, in units of the cell vectors:
Er: 0.000 0.000 0.000
Er: 0.000 0.500 0.500
Np: 0.500 0.000 0.500
Np: 0.500 0.500 0.000
Hg: 0.254 0.029 0.753
Hg: 0.254 0.471 0.253
Hg: 0.746 0.529 0.747
Hg: 0.746 0.971 0.247
O: 0.155 0.042 0.256
O: 0.155 0.458 0.756
O: 0.255 0.686 0.052
O: 0.255 0.814 0.552
O: 0.373 0.203 0.056
O: 0.373 0.297 0.556
O: 0.627 0.703 0.444
O: 0.627 0.797 0.944
O: 0.745 0.186 0.448
O: 0.745 0.314 0.948
O: 0.845 0.542 0.244
O: 0.845 0.958 0.744

Entry 5:
# Ti7Al5

A geometry-optimized Ti7Al5 structure (PBE, Alexandria via LeMat-Bulk).

Results
Magnetization in μB/f.u.: 0.04
Volume in Å³ per atom: 17.1
ΔH_f (0 K) in eV/atom: -0.168
Energy in eV/atom: -6.33
Space group: C2/m (12)

Cell: 4.515 4.515 11.880 Å, 101.01 101.01 60.15°
Sites, in units of the cell vectors:
Ti: 0.000 0.000 0.000
Ti: 0.195 0.195 0.586
Ti: 0.274 0.274 0.826
Ti: 0.429 0.429 0.281
Ti: 0.571 0.571 0.719
Ti: 0.726 0.726 0.174
Ti: 0.805 0.805 0.414
Al: 0.103 0.103 0.304
Al: 0.353 0.353 0.059
Al: 0.500 0.500 0.500
Al: 0.647 0.647 0.941
Al: 0.897 0.897 0.696

Entry 6:
# Tm3TcCl2O6

A geometry-optimized Tm3TcCl2O6 structure (PBE, Alexandria via LeMat-Bulk).

Results
Raw formation energy in kJ/mol of formula units: -2736
Magnetization in μB/f.u.: 2.00
Volume in Å³ per atom: 16.2
Energy in eV/atom: -7.13
Space group: C2/m (12)

Cell: 6.463 6.463 5.469 Å, 99.06 99.06 59.73°
Sites, in units of the cell vectors:
Tm: 0.000 0.000 0.000
Tm: 0.000 0.500 0.500
Tm: 0.500 0.000 0.500
Tc: 0.500 0.500 0.500
Cl: 0.207 0.207 0.848
Cl: 0.793 0.793 0.152
O: 0.203 0.682 0.706
O: 0.318 0.797 0.294
O: 0.329 0.329 0.328
O: 0.671 0.671 0.672
O: 0.682 0.203 0.706
O: 0.797 0.318 0.294

Entry 7:
# InMo

A geometry-optimized InMo structure (PBE, Alexandria via LeMat-Bulk).

Results
Offset from the most stable computed form in meV/atom: 13.1
Magnetization in μB/f.u.: 0.00
Volume in Å³ per atom: 19.5
ΔH_f (0 K) in eV/atom: 0.227
Energy in eV/atom: -6.56
Space group: P4/nmm (129)

Cell: 3.265 3.265 7.306 Å, 90.00 90.00 90.00°
Sites, in units of the cell vectors:
In: 0.250 0.250 0.162
In: 0.750 0.750 0.838
Mo: 0.250 0.250 0.593
Mo: 0.750 0.750 0.407

Entry 8:
# NaPuGe2

A geometry-optimized NaPuGe2 structure (PBE, Alexandria via LeMat-Bulk).

Results
Magnetization in μB/f.u.: 5.32
Volume in Å³ per atom: 21.9
ΔH_f (0 K) in eV/atom: -0.185
Energy in eV/atom: -6.41
Space group: P4/mmm (123)

Cell: 3.140 3.140 8.869 Å, 90.00 90.00 90.00°
Sites, in units of the cell vectors:
Na: 0.000 0.000 0.000
Pu: 0.000 0.000 0.500
Ge: 0.500 0.500 0.257
Ge: 0.500 0.500 0.743

Question: Which of these has the highest magnetization?
Answer: NaPuGe2

Question: Which of these has the highest energy?
Answer: YInHg2

What did the second record say?
# SrSbCl3

A geometry-optimized SrSbCl3 structure (PBE, Alexandria via LeMat-Bulk).

Results
Raw formation energy in kJ/mol of formula units: -387
Offset from the most stable computed form in meV/atom: 259.7
Magnetization in μB/f.u.: 0.00
Volume in Å³ per atom: 34.8
Energy in eV/atom: -3.07
Space group: Pm-3m (221)

Cell: 5.581 5.581 5.581 Å, 90.00 90.00 90.00°
Sites, in units of the cell vectors:
Sr: 0.000 0.000 0.000
Sb: 0.500 0.500 0.500
Cl: 0.000 0.500 0.500
Cl: 0.500 0.000 0.500
Cl: 0.500 0.500 0.000

Question: Which of these has the highest magnetization?
Answer: NaPuGe2